Here is a relaxed AcCrIO4 crystal from Alexandria. Energies are from PBE+U.

Fermi-level density of states (states/eV per cell): 4.38
SG: C2/m, No. 12
Energy (eV per atom): -6.62

Lattice parameters (Å, degrees): 6.8180 6.8180 7.1289 100.04 100.04 66.32
Fractional positions:
1 Ac 0.2386 0.2386 0.3463
2 Ac 0.7614 0.7614 0.6537
3 Cr 0.1364 0.1364 0.7585
4 Cr 0.8636 0.8636 0.2415
5 I 0.4795 0.4795 0.7490
6 I 0.5205 0.5205 0.2510
7 O 0.0049 0.3593 0.6392
8 O 0.0111 0.0111 0.2678
9 O 0.2031 0.2031 0.9890
10 O 0.3593 0.0049 0.6392
11 O 0.6407 0.9951 0.3608
12 O 0.7969 0.7969 0.0110
13 O 0.9889 0.9889 0.7322
14 O 0.9951 0.6407 0.3608